Density functional theory data (PBE-GGA) for crystalline LiAc3Os2N6 at its relaxed geometry.

The structure belongs to space group P-3m1 (No. 164); the cell edges are 5.9332, 5.9332 and 6.7302 Å and the angles 90.00°, 90.00° and 120.00°. Symmetry generates all atoms from Li at (0.0000, 0.0000, 0.0000), Ac at (0.0000, 0.0000, 0.5000), Ac at (0.3333, 0.6667, 0.1788), Os at (0.3333, 0.6667, 0.7001) and N at (0.1663, 0.3326, 0.7925).

Density functional theory data (PBE-GGA) for crystalline LiAcPN3 at its relaxed geometry.

The structure belongs to space group C2/m (No. 12); the cell edges are 9.306, 5.996 and 6.551 Å and the angles 90.00°, 116.59° and 90.00°. Symmetry generates all atoms from Li at (0.000, 0.168, 0.000), Ac at (0.204, 0.000, 0.676), P at (0.067, 0.500, 0.750), N at (0.037, 0.276, 0.305) and N at (0.243, 0.000, 0.124).

Density functional theory data (PBE-GGA) for crystalline LiAc2PN4 at its relaxed geometry.

The structure belongs to space group Fddd (No. 70, origin choice 2); the cell edges are 4.413, 10.597 and 19.622 Å and the angles 90.00°, 90.00° and 90.00°. Symmetry generates all atoms from Li at (0.125, 0.125, 0.125), Ac at (0.125, 0.125, 0.302), P at (0.125, 0.125, 0.625) and N at (0.088, 0.276, 0.828).

Density functional theory data (PBE-GGA) for crystalline LiAc3P2N6 at its relaxed geometry.

The structure belongs to space group P-3m1 (No. 164); the cell edges are 5.7812, 5.7812 and 6.5877 Å and the angles 90.00°, 90.00° and 120.00°. Symmetry generates all atoms from Li at (0.0000, 0.0000, 0.0000), Ac at (0.0000, 0.0000, 0.5000), Ac at (0.3333, 0.6667, 0.1579), P at (0.3333, 0.6667, 0.7108) and N at (0.1784, 0.3567, 0.7887).

Density functional theory data (PBE-GGA) for crystalline LiAcPN2 at its relaxed geometry.

The structure belongs to space group P2/c (No. 13); the cell edges are 5.761, 4.136 and 6.495 Å and the angles 90.00°, 102.20° and 90.00°. Symmetry generates all atoms from Li at (0.000, 0.018, 0.250), Ac at (0.500, 0.251, 0.750), P at (0.000, 0.500, 0.000) and N at (0.240, 0.236, 0.048).

Density functional theory data (PBE-GGA) for crystalline LiAcP2N4 at its relaxed geometry.

The structure belongs to space group I222 (No. 23); the cell edges are 5.500, 6.697 and 6.988 Å and the angles 90.00°, 90.00° and 90.00°. Symmetry generates all atoms from Li at (0.000, 0.000, 0.000), Ac at (0.000, 0.000, 0.500), P at (0.000, 0.500, 0.344) and N at (0.226, 0.382, 0.273).

Density functional theory data (PBE-GGA) for crystalline Li2AcPN4 at its relaxed geometry.

The structure belongs to space group I-42m (No. 121); the cell edges are 5.331, 5.331 and 6.993 Å and the angles 90.00°, 90.00° and 90.00°. Symmetry generates all atoms from Li at (0.000, 0.500, 0.250), Ac at (0.000, 0.000, 0.000), P at (0.000, 0.000, 0.500) and N at (0.178, 0.178, 0.363).

Density functional theory data (PBE-GGA) for crystalline LiAc3Pa2N6 at its relaxed geometry.

The structure belongs to space group C2/m (No. 12); the cell edges are 15.679, 3.726 and 7.501 Å and the angles 90.00°, 105.72° and 90.00°. Symmetry generates all atoms from Li at (0.000, 0.000, 0.000), Ac at (0.000, 0.000, 0.500), Ac at (0.159, 0.500, 0.844), Pa at (0.165, 0.500, 0.323), N at (0.023, 0.500, 0.274), N at (0.168, 0.000, 0.119) and N at (0.180, 0.000, 0.551).

Density functional theory data (PBE-GGA) for crystalline LiAc2PaN4 at its relaxed geometry.

The structure belongs to space group I-42m (No. 121); the cell edges are 6.363, 6.363 and 6.248 Å and the angles 90.00°, 90.00° and 90.00°. Symmetry generates all atoms from Li at (0.000, 0.000, 0.000), Ac at (0.000, 0.500, 0.000), Pa at (0.000, 0.000, 0.500) and N at (0.177, 0.177, 0.748).

Density functional theory data (PBE-GGA) for crystalline LiAcPa2N4 at its relaxed geometry.

The structure belongs to space group Cmcm (No. 63); the cell edges are 3.623, 11.747 and 11.423 Å and the angles 90.00°, 90.00° and 90.00°. Symmetry generates all atoms from Li at (0.000, 0.168, 0.250), Ac at (0.000, 0.098, 0.750), Pa at (0.000, 0.370, 0.556), N at (0.000, 0.000, 0.000), N at (0.000, 0.258, 0.104) and N at (0.000, 0.427, 0.750).

Density functional theory data (PBE-GGA) for crystalline LiAcPa4N8 at its relaxed geometry.

The structure belongs to space group R3m (No. 160, hexagonal axes); the cell edges are 7.1652, 7.1652 and 16.1212 Å and the angles 90.00°, 90.00° and 120.00°. Symmetry generates all atoms from Li at (0.0000, 0.0000, 0.0000), Ac at (0.0000, 0.0000, 0.3733), Pa at (0.0000, 0.0000, 0.5976), Pa at (0.1703, 0.3406, 0.8143), N at (0.0000, 0.0000, 0.2171), N at (0.0000, 0.0000, 0.7399), N at (0.0074, 0.5037, 0.2135) and N at (0.0559, 0.5280, 0.7444).

Density functional theory data (PBE-GGA) for crystalline LiAcPa2N5 at its relaxed geometry.

The structure belongs to space group I4/mcm (No. 140); the cell edges are 6.586, 6.586 and 11.529 Å and the angles 90.00°, 90.00° and 90.00°. Symmetry generates all atoms from Li at (0.000, 0.500, 0.250), Ac at (0.000, 0.000, 0.250), Pa at (0.164, 0.336, 0.000), N at (0.000, 0.000, 0.000) and N at (0.155, 0.345, 0.376).

Density functional theory data (PBE-GGA) for crystalline Li2AcPbN at its relaxed geometry.

The structure belongs to space group Cmcm (No. 63); the cell edges are 3.733, 15.119 and 7.382 Å and the angles 90.00°, 90.00° and 90.00°. Symmetry generates all atoms from Li at (0.000, 0.128, 0.061), Ac at (0.000, 0.462, 0.250), Pb at (0.000, 0.253, 0.750) and N at (0.000, 0.000, 0.000).

Density functional theory data (PBE-GGA) for crystalline Li2Ac2PuN4 at its relaxed geometry.

The structure belongs to space group C2/m (No. 12); the cell edges are 13.167, 3.531 and 6.131 Å and the angles 90.00°, 108.98° and 90.00°. Symmetry generates all atoms from Li at (0.180, 0.000, 0.017), Ac at (0.141, 0.500, 0.575), Pu at (0.000, 0.500, 0.000), N at (0.027, 0.000, 0.784) and N at (0.214, 0.500, 0.221).

Density functional theory data (PBE-GGA) for crystalline LiAcPu2N4 at its relaxed geometry.

The structure belongs to space group Cmcm (No. 63); the cell edges are 3.559, 11.488 and 11.367 Å and the angles 90.00°, 90.00° and 90.00°. Symmetry generates all atoms from Li at (0.000, 0.165, 0.250), Ac at (0.000, 0.103, 0.750), Pu at (0.000, 0.368, 0.557), N at (0.000, 0.000, 0.000), N at (0.000, 0.262, 0.106) and N at (0.000, 0.431, 0.750).

Density functional theory data (PBE-GGA) for crystalline LiAcPu4N8 at its relaxed geometry.

The structure belongs to space group R3m (No. 160, hexagonal axes); the cell edges are 6.9365, 6.9365 and 15.9752 Å and the angles 90.00°, 90.00° and 120.00°. Symmetry generates all atoms from Li at (0.0000, 0.0000, 0.0000), Ac at (0.0000, 0.0000, 0.6197), Pu at (0.0000, 0.0000, 0.3912), Pu at (0.0036, 0.5018, 0.5091), N at (0.0000, 0.0000, 0.2485), N at (0.0000, 0.0000, 0.7763), N at (0.0176, 0.5088, 0.7781) and N at (0.1966, 0.3932, 0.5770).

Density functional theory data (PBE-GGA) for crystalline LiAc2ReN4 at its relaxed geometry.

The structure belongs to space group Fddd (No. 70, origin choice 2); the cell edges are 4.662, 11.436 and 18.713 Å and the angles 90.00°, 90.00° and 90.00°. Symmetry generates all atoms from Li at (0.125, 0.125, 0.125), Ac at (0.125, 0.125, 0.298), Re at (0.125, 0.125, 0.625) and N at (0.120, 0.267, 0.828).

Density functional theory data (PBE-GGA) for crystalline LiAcRe2N6 at its relaxed geometry.

The structure belongs to space group C2/c (No. 15); the cell edges are 10.912, 10.721 and 6.336 Å and the angles 90.00°, 113.72° and 90.00°. Symmetry generates all atoms from Li at (0.000, 0.225, 0.250), Ac at (0.000, 0.118, 0.750), Re at (0.196, 0.421, 0.695), N at (0.121, 0.275, 0.599), N at (0.124, 0.092, 0.185) and N at (0.153, 0.471, 0.943).

Density functional theory data (PBE-GGA) for crystalline Li2AcReN4 at its relaxed geometry.

The structure belongs to space group Pmn2_1 (No. 31); the cell edges are 7.861, 5.323 and 5.349 Å and the angles 90.00°, 90.00° and 90.00°. Symmetry generates all atoms from Li at (0.245, 0.205, 0.000), Ac at (0.000, 0.232, 0.504), Re at (0.000, 0.704, 0.992), N at (0.000, 0.361, 0.033), N at (0.000, 0.745, 0.651) and N at (0.190, 0.844, 0.133).

Density functional theory data (PBE-GGA) for crystalline Li2Ac2Sb2N at its relaxed geometry.

The structure belongs to space group I4/mmm (No. 139); the cell edges are 4.821, 4.821 and 15.957 Å and the angles 90.00°, 90.00° and 90.00°. Symmetry generates all atoms from Li at (0.000, 0.500, 0.000), Ac at (0.000, 0.000, 0.147), Sb at (0.000, 0.000, 0.373) and N at (0.000, 0.000, 0.000).

The records above give, respectively, formation energy (no corrections) values of -0.48, -0.81, -0.82, -0.94, -0.41, -0.46, -0.61, -1.18, -0.70, -1.39, -1.40, -1.25, -0.60, -0.81, -1.14, -0.87, -0.55, -0.40, -0.78, -0.82 eV per atom.
The records above give, respectively, magnetization values of 0.0, 0.0, 0.0, 1.1, 0.0, 0.0, 0.0, 0.0, 0.0, 0.0, 0.0, 0.0, 0.0, 8.0, 32.0, 9.0, 0.0, 0.0, 0.0, 0.0 μB/cell.